A plane-wave DFT calculation with PBE was carried out for an optimized crystal structure of Ho4ReHg.

Results
ΔH_f (0 K): -1.3 eV/f.u.
DOS at the Fermi energy: 8.89 states/eV/cell
Theoretical density: 10.707 g cm⁻³
Symmetry: C2/c, No. 15

Cell: 7.656 7.656 6.238 Å, 98.70 98.70 112.65°
Fractional positions:
Ho 0.066 0.723 0.958
Ho 0.204 0.359 0.596
Ho 0.277 0.934 0.542
Ho 0.359 0.204 0.096
Ho 0.641 0.796 0.904
Ho 0.723 0.066 0.458
Ho 0.796 0.641 0.404
Ho 0.934 0.277 0.042
Re 0.001 0.999 0.750
Re 0.999 0.001 0.250
Hg 0.373 0.627 0.250
Hg 0.627 0.373 0.750

=====

A plane-wave DFT calculation with PBE was carried out for an optimized crystal structure of BaSr8Hg2.

Results
ΔH_f (0 K): -1.7 eV/f.u.
DOS at the Fermi energy: 14.01 states/eV/cell
Theoretical density: 3.849 g cm⁻³
Symmetry: C2/m, No. 12

Cell: 9.513 9.513 6.569 Å, 97.88 97.88 111.91°
Fractional positions:
Ba 0.000 0.000 0.000
Sr 0.066 0.333 0.586
Sr 0.259 0.741 0.000
Sr 0.333 0.066 0.586
Sr 0.398 0.398 0.211
Sr 0.602 0.602 0.789
Sr 0.667 0.934 0.414
Sr 0.741 0.259 0.000
Sr 0.934 0.667 0.414
Hg 0.315 0.685 0.500
Hg 0.685 0.315 0.500

=====

A plane-wave DFT calculation with PBE was carried out for an optimized crystal structure of TmP2Pd4.

Results
ΔH_f (0 K): -5.6 eV/f.u.
DOS at the Fermi energy: 2.69 states/eV/cell
E above lowest polymorph: 0.0 meV/atom
Theoretical density: 9.660 g cm⁻³
Symmetry: Cmmm, No. 65

Cell: 6.850 6.850 4.175 Å, 90.00 90.00 144.82°
Fractional positions:
Tm 0.000 0.000 0.000
P 0.416 0.584 0.500
P 0.584 0.416 0.500
Pd 0.172 0.828 0.500
Pd 0.331 0.669 0.000
Pd 0.669 0.331 0.000
Pd 0.828 0.172 0.500

=====

A plane-wave DFT calculation with PBE was carried out for an optimized crystal structure of MgCdPb6.

Results
ΔH_f (0 K): 0.5 eV/f.u.
DOS at the Fermi energy: 3.53 states/eV/cell
E above lowest polymorph: 51.2 meV/atom
Theoretical density: 9.493 g cm⁻³
Symmetry: C2/m, No. 12

Cell: 6.756 6.756 6.419 Å, 90.33 90.33 124.53°
Fractional positions:
Mg 0.000 0.000 0.000
Cd 0.000 0.000 0.500
Pb 0.098 0.665 0.248
Pb 0.335 0.902 0.752
Pb 0.477 0.477 0.250
Pb 0.523 0.523 0.750
Pb 0.665 0.098 0.248
Pb 0.902 0.335 0.752

=====

A plane-wave DFT calculation with PBE was carried out for an optimized crystal structure of KCrMo2.

Results
ΔH_f (0 K): 3.2 eV/f.u.
DOS at the Fermi energy: 3.81 states/eV/cell
E above lowest polymorph: 0.0 meV/atom
Theoretical density: 6.478 g cm⁻³
Symmetry: Cmmm, No. 65

Cell: 2.753 2.753 10.251 Å, 90.00 90.00 110.97°
Fractional positions:
K 0.000 0.000 0.000
Cr 0.000 0.000 0.500
Mo 0.500 0.500 0.308
Mo 0.500 0.500 0.692

=====

A plane-wave DFT calculation with PBE was carried out for an optimized crystal structure of HRhS.

Results
DOS at the Fermi energy: 0.33 states/eV/cell
Theoretical density: 5.176 g cm⁻³
Symmetry: C2/m, No. 12

Cell: 5.925 5.925 5.541 Å, 117.17 117.17 30.61°
Fractional positions:
H 0.156 0.156 0.343
H 0.844 0.844 0.657
Rh 0.251 0.251 0.716
Rh 0.749 0.749 0.284
S 0.368 0.368 0.195
S 0.632 0.632 0.805

=====

A plane-wave DFT calculation with PBE was carried out for an optimized crystal structure of GdCo2B2.

Results
ΔH_f (0 K): -2.7 eV/f.u.
DOS at the Fermi energy: 1.82 states/eV/cell
Theoretical density: 8.142 g cm⁻³
Symmetry: I4/mmm, No. 139

Cell: 5.406 5.406 5.406 Å, 141.60 141.60 55.43°
Fractional positions:
Gd 0.000 0.000 0.000
Co 0.250 0.750 0.500
Co 0.750 0.250 0.500
B 0.346 0.346 0.000
B 0.654 0.654 0.000

=====

A plane-wave DFT calculation with PBE was carried out for an optimized crystal structure of BaSm2TaN4.

Results
DOS at the Fermi energy: 4.62 states/eV/cell
Theoretical density: 7.920 g cm⁻³
Symmetry: Cmcm, No. 63

Cell: 6.666 6.666 12.372 Å, 90.00 90.00 149.01°
Fractional positions:
Ba 0.089 0.911 0.750
Ba 0.911 0.089 0.250
Sm 0.372 0.628 0.534
Sm 0.372 0.628 0.966
Sm 0.628 0.372 0.034
Sm 0.628 0.372 0.466
Ta 0.174 0.826 0.250
Ta 0.826 0.174 0.750
N 0.000 0.000 0.000
N 0.000 0.000 0.500
N 0.257 0.743 0.121
N 0.257 0.743 0.379
N 0.406 0.594 0.750
N 0.594 0.406 0.250
N 0.743 0.257 0.621
N 0.743 0.257 0.879

=====

Computed magnetic moment (μB per cell) in order:
0.00 0.00 0.00 0.00 0.00 0.00 7.02 0.00
Computed DFT total energy (eV for the cell shown) in order:
-64.727 -17.729 -41.672 -24.246 -29.152 -30.349 -44.338 -132.188